Record 1
Here is an optimized crystal structure of K2LaClO2 from Alexandria via LeMat-Bulk. Energies are from GGA-PBE.

Crystal system: tetragonal
Theoretical density, g cm⁻³: 3.3
ΔE_f (raw), eV/atom: -2.25

Unit cell a=4.673 b=4.673 c=6.573 alpha=90.00 beta=90.00 gamma=90.00
Space group P4/mmm (No. 123)
Unique sites:
K 0.000 0.000 0.244 [2 per cell]
La 0.500 0.500 0.000 [1 per cell]
Cl 0.500 0.500 0.500 [1 per cell]
O 0.000 0.500 0.000 [2 per cell]

***

Record 2
Here is an optimized crystal structure of Ce2HoAuN from Alexandria via LeMat-Bulk. Energies are from GGA-PBE.

Crystal system: tetragonal
Theoretical density, g cm⁻³: 9.8
ΔE_f (raw), eV/atom: -0.82

Unit cell a=4.834 b=4.834 c=4.759 alpha=90.00 beta=90.00 gamma=90.00
Space group P4/mmm (No. 123)
Unique sites:
Ce 0.000 0.500 0.000 [2 per cell]
Ho 0.000 0.000 0.500 [1 per cell]
Au 0.500 0.500 0.500 [1 per cell]
N 0.000 0.000 0.000 [1 per cell]

***

Record 3
Here is an optimized crystal structure of RuS from Alexandria via LeMat-Bulk. Energies are from GGA-PBE.

Crystal system: monoclinic
Theoretical density, g cm⁻³: 7.2
ΔE_f (raw), eV/atom: -0.18

Unit cell a=7.674 b=2.992 c=5.726 alpha=90.00 beta=110.89 gamma=90.00
Space group Cm (No. 8)
Unique sites:
Ru 0.000 0.000 0.000 [2 per cell]
Ru 0.008 0.000 0.516 [2 per cell]
S 0.159 0.500 0.343 [2 per cell]
S 0.253 0.000 0.874 [2 per cell]

***

Record 4
Here is an optimized crystal structure of VZnNi5 from Alexandria via LeMat-Bulk. Energies are from GGA-PBE.

E above lowest polymorph, eV/atom: 0.131
Crystal system: monoclinic
Theoretical density, g cm⁻³: 7.2
ΔE_f, eV per atom: 0.22

Unit cell a=8.157 b=8.828 c=5.885 alpha=90.00 beta=116.90 gamma=90.00
Space group C2/c (No. 15)
Unique sites:
V 0.000 0.029 0.250 [4 per cell]
Zn 0.000 0.500 0.000 [4 per cell]
Ni 0.000 0.286 0.250 [4 per cell]
Ni 0.116 0.193 0.978 [8 per cell]
Ni 0.208 0.124 0.644 [8 per cell]

***

| no. | DOS(E_F) (states/eV/f.u.) |
| --- | --- |
| 1 | 0.00 |
| 2 | 10.31 |
| 3 | 0.88 |
| 4 | 5.91 |